[1]
Here is a geometry-optimized Ho2ZrPb structure from Alexandria via LeMat-Bulk. Energies are from GGA-PBE.

Properties
The calculation puts the total energy at -0.2031 hartree per atom. The relative energy among the computed polymorphs is 0.00 eV/f.u. As for the space group: No. 123. The magnetic moment is 0.0 μB per cell. Its crystal system is tetragonal. For the energy of formation, the calculation gives -0.173 eV per atom.

POSCAR file:
```
Ho2ZrPb
1.0
4.734 0.000 0.000
0.000 4.734 0.000
0.000 0.000 4.672
Ho Zr Pb
2 1 1
direct
0.000 0.500 0.000
0.500 0.000 0.000
0.000 0.000 0.500
0.500 0.500 0.500
```

***

[2]
Here is a geometry-optimized In2RuSe structure from Alexandria via LeMat-Bulk. Energies are from GGA-PBE.

Properties
The calculation puts the total energy at -0.1605 hartree per atom. As for the space group: No. 65. The magnetic moment is 0.0 μB per cell. Its crystal system is orthorhombic.

POSCAR file:
```
In2RuSe
1.0
3.063 -3.816 0.000
3.063 3.816 0.000
0.000 0.000 3.340
In Ru Se
2 1 1
direct
0.000 0.500 0.000
0.500 0.000 0.000
0.000 0.000 0.500
0.500 0.500 0.500
```

***

[3]
Here is a geometry-optimized BeNbCu2 structure from Alexandria via LeMat-Bulk. Energies are from GGA-PBE.

Properties
The calculation puts the total energy at -0.1875 hartree per atom. As for the space group: No. 122. The magnetic moment is 0.0 μB per cell. Its crystal system is tetragonal. For the energy of formation, the calculation gives 0.396 eV per atom.

POSCAR file:
```
BeNbCu2
1.0
-1.773 1.773 8.689
1.773 -1.773 8.689
1.773 1.773 -8.689
Be Nb Cu
2 2 4
direct
0.000 0.000 0.000
0.750 0.250 0.500
0.250 0.750 0.500
0.500 0.500 0.000
0.096 0.625 0.971
0.375 0.346 0.471
0.654 0.125 0.029
0.875 0.904 0.529
```

***

[4]
Here is a geometry-optimized LiCaCu17 structure from Alexandria via LeMat-Bulk. Energies are from GGA-PBE.

Properties
The calculation puts the total energy at -0.1426 hartree per atom. As for the space group: No. 160. The magnetic moment is 0.0 μB per cell. Its crystal system is trigonal. For the energy of formation, the calculation gives -0.009 eV per atom.

POSCAR file:
```
LiCaCu17
1.0
4.251 2.454 4.148
-4.251 2.454 4.148
0.000 -4.908 4.148
Li Ca Cu
1 1 17
direct
0.000 0.000 0.000
0.684 0.684 0.684
0.043 0.337 0.642
0.043 0.642 0.337
0.184 0.688 0.688
0.240 0.240 0.240
0.337 0.043 0.642
0.337 0.642 0.043
0.343 0.343 0.840
0.343 0.840 0.343
0.436 0.436 0.436
0.487 0.998 0.998
0.642 0.043 0.337
0.642 0.337 0.043
0.688 0.184 0.688
0.688 0.688 0.184
0.840 0.343 0.343
0.998 0.487 0.998
0.998 0.998 0.487
```

***

[5]
Here is a geometry-optimized Ti12In3Hg structure from Alexandria via LeMat-Bulk. Energies are from GGA-PBE.

Properties
The calculation puts the total energy at -0.2408 hartree per atom. As for the space group: No. 123. The magnetic moment is 0.0 μB per cell. Its crystal system is tetragonal. For the energy of formation, the calculation gives -0.099 eV per atom.

POSCAR file:
```
Ti12In3Hg
1.0
4.153 0.000 0.000
0.000 4.153 0.000
0.000 0.000 16.614
Ti In Hg
12 3 1
direct
0.000 0.000 0.000
0.000 0.000 0.248
0.000 0.000 0.500
0.000 0.000 0.752
0.000 0.500 0.124
0.000 0.500 0.375
0.000 0.500 0.625
0.000 0.500 0.876
0.500 0.000 0.124
0.500 0.000 0.375
0.500 0.000 0.625
0.500 0.000 0.876
0.500 0.500 0.249
0.500 0.500 0.500
0.500 0.500 0.751
0.500 0.500 0.000
```

***

[6]
Here is a geometry-optimized Mn5Cu2Pd12 structure from Alexandria via LeMat-Bulk. Energies are from GGA-PBE.

Properties
The calculation puts the total energy at -0.2287 hartree per atom. As for the space group: No. 12. The magnetic moment is 23.1 μB per cell. Its crystal system is monoclinic. For the energy of formation, the calculation gives -0.101 eV per atom.

POSCAR file:
```
Mn5Cu2Pd12
1.0
6.150 -3.927 0.000
6.150 3.927 0.000
-0.089 0.000 6.110
Mn Cu Pd
5 2 12
direct
0.000 0.000 0.000
0.245 0.245 0.032
0.340 0.340 0.576
0.660 0.660 0.424
0.755 0.755 0.968
0.249 0.751 0.500
0.751 0.249 0.500
0.035 0.581 0.297
0.130 0.130 0.386
0.172 0.622 0.891
0.378 0.828 0.109
0.419 0.965 0.703
0.450 0.450 0.225
0.550 0.550 0.775
0.581 0.035 0.297
0.622 0.172 0.891
0.828 0.378 0.109
0.870 0.870 0.614
0.965 0.419 0.703
```

***

[7]
Here is a geometry-optimized Li2ReP structure from Alexandria via LeMat-Bulk. Energies are from GGA-PBE.

Properties
The calculation puts the total energy at -0.2025 hartree per atom. As for the space group: No. 71. The magnetic moment is 0.0 μB per cell. Its crystal system is orthorhombic. For the energy of formation, the calculation gives -0.089 eV per atom.

POSCAR file:
```
Li2ReP
1.0
-1.431 1.992 4.561
1.431 -1.992 4.561
1.431 1.992 -4.561
Li Re P
2 1 1
direct
0.228 0.228 0.000
0.772 0.772 0.000
0.500 0.000 0.500
0.000 0.500 0.500
```

***

[8]
Here is a geometry-optimized PmPrNd2As4 structure from Alexandria via LeMat-Bulk. Energies are from GGA-PBE.

Properties
The calculation puts the total energy at -0.2286 hartree per atom. As for the space group: No. 74. The magnetic moment is 0.0 μB per cell. Its crystal system is orthorhombic. For the energy of formation, the calculation gives -1.512 eV per atom.

POSCAR file:
```
PmPrNd2As4
1.0
-4.273 4.273 6.043
4.273 -4.273 6.043
4.273 4.273 -6.043
Pm Pr Nd As
2 2 4 8
direct
0.500 0.000 0.000
0.500 0.500 0.500
0.000 0.000 0.000
0.500 0.000 0.500
0.000 0.000 0.500
0.000 0.500 0.000
0.000 0.500 0.500
0.500 0.500 0.000
0.251 0.252 0.501
0.251 0.749 0.501
0.251 0.749 0.999
0.252 0.251 0.001
0.748 0.749 0.999
0.749 0.251 0.001
0.749 0.251 0.499
0.749 0.748 0.499
```

***

[9]
Here is a geometry-optimized TaMn2Br structure from Alexandria via LeMat-Bulk. Energies are from GGA-PBE.

Properties
The calculation puts the total energy at -0.2634 hartree per atom. The relative energy among the computed polymorphs is 2.35 eV/f.u. As for the space group: No. 139. The magnetic moment is 4.5 μB per cell. Its crystal system is tetragonal.

POSCAR file:
```
TaMn2Br
1.0
-2.055 2.055 3.862
2.055 -2.055 3.862
2.055 2.055 -3.862
Ta Mn Br
1 2 1
direct
0.000 0.000 0.000
0.250 0.750 0.500
0.750 0.250 0.500
0.500 0.500 0.000
```

***

[10]
Here is a geometry-optimized AcGaAgO4 structure from Alexandria via LeMat-Bulk. Energies are from GGA-PBE.

Properties
The calculation puts the total energy at -0.2215 hartree per atom. As for the space group: No. 63. The magnetic moment is 0.0 μB per cell. Its crystal system is orthorhombic.

POSCAR file:
```
AcGaAgO4
1.0
3.182 -4.782 0.000
3.182 4.782 0.000
0.000 0.000 7.421
Ac Ga Ag O
2 2 2 8
direct
0.000 0.000 0.000
0.000 0.000 0.500
0.364 0.636 0.750
0.636 0.364 0.250
0.313 0.687 0.250
0.687 0.313 0.750
0.242 0.282 0.750
0.260 0.740 0.535
0.260 0.740 0.965
0.282 0.242 0.250
0.718 0.758 0.750
0.740 0.260 0.035
0.740 0.260 0.465
0.758 0.718 0.250
```

***

Please write out number 8 again, unchanged.
Here is a geometry-optimized PmPrNd2As4 structure from Alexandria via LeMat-Bulk. Energies are from GGA-PBE.

Properties
The calculation puts the total energy at -0.2286 hartree per atom. As for the space group: No. 74. The magnetic moment is 0.0 μB per cell. Its crystal system is orthorhombic. For the energy of formation, the calculation gives -1.512 eV per atom.

POSCAR file:
```
PmPrNd2As4
1.0
-4.273 4.273 6.043
4.273 -4.273 6.043
4.273 4.273 -6.043
Pm Pr Nd As
2 2 4 8
direct
0.500 0.000 0.000
0.500 0.500 0.500
0.000 0.000 0.000
0.500 0.000 0.500
0.000 0.000 0.500
0.000 0.500 0.000
0.000 0.500 0.500
0.500 0.500 0.000
0.251 0.252 0.501
0.251 0.749 0.501
0.251 0.749 0.999
0.252 0.251 0.001
0.748 0.749 0.999
0.749 0.251 0.001
0.749 0.251 0.499
0.749 0.748 0.499
```